No. 1
Computed, not measured: a relaxed LaHF crystal at the PBE-GGA level of DFT.

Properties
Magnetic moment ... 0.00 μB per formula unit
Total energy ... -5.46 eV/atom
Fermi-level density of states ... 1.9 states/eV/f.u.

```
data_LaHF
_chemical_formula_sum 'La4 H4 F4'
_cell_length_a 5.786
_cell_length_b 5.786
_cell_length_c 5.786
_cell_angle_alpha 90.00
_cell_angle_beta 90.00
_cell_angle_gamma 90.00
_space_group_name_H-M_alt 'F -4 3 m'
_space_group_IT_number 216
_space_group_name_Hall 'F -4 2 3'
loop_
_atom_site_label
_atom_site_fract_x
_atom_site_fract_y
_atom_site_fract_z
_atom_site_occupancy
La1 0.000 0.000 0.000 1
H1 0.250 0.250 0.750 1
F1 0.250 0.250 0.250 1
```

No. 2
Computed, not measured: a relaxed LaHF2 crystal at the PBE-GGA level of DFT.

Properties
Magnetic moment ... 0.00 μB per formula unit
Total energy ... -5.51 eV/atom
Fermi-level density of states ... 0.0 states/eV/f.u.

```
data_LaHF2
_chemical_formula_sum 'La4 H4 F8'
_cell_length_a 3.915
_cell_length_b 3.915
_cell_length_c 15.719
_cell_angle_alpha 90.00
_cell_angle_beta 90.00
_cell_angle_gamma 90.00
_space_group_name_H-M_alt 'I -4 2 d'
_space_group_IT_number 122
_space_group_name_Hall 'I -4 2bw'
loop_
_atom_site_label
_atom_site_fract_x
_atom_site_fract_y
_atom_site_fract_z
_atom_site_occupancy
La1 0.000 0.000 0.000 1
H1 0.000 0.000 0.500 1
F1 0.211 0.250 0.125 1
```

No. 3
Computed, not measured: a relaxed LaHF crystal at the PBE-GGA level of DFT.

Properties
Magnetic moment ... 0.00 μB per formula unit
Total energy ... -5.54 eV/atom
Fermi-level density of states ... 1.2 states/eV/f.u.

```
data_LaHF
_chemical_formula_sum 'La2 H2 F2'
_cell_length_a 3.964
_cell_length_b 3.964
_cell_length_c 6.051
_cell_angle_alpha 90.00
_cell_angle_beta 90.00
_cell_angle_gamma 90.00
_space_group_name_H-M_alt 'P 4/n m m'
_space_group_IT_number 129
loop_
_space_group_symop_operation_xyz
'x,y,z'
'-x,-y,-z'
'-y+1/2,x,z'
'y+1/2,-x,-z'
'-x+1/2,-y+1/2,z'
'x+1/2,y+1/2,-z'
'y,-x+1/2,z'
'-y,x+1/2,-z'
'x+1/2,-y,-z'
'-x+1/2,y,z'
'-y,-x,-z'
'y,x,z'
'-x,y+1/2,-z'
'x,-y+1/2,z'
'y+1/2,x+1/2,-z'
'-y+1/2,-x+1/2,z'
loop_
_atom_site_label
_atom_site_fract_x
_atom_site_fract_y
_atom_site_fract_z
_atom_site_occupancy
La1 0.250 0.250 0.231 1
H1 0.250 0.750 0.000 1
F1 0.250 0.750 0.500 1
```